Record 1
## Tb4Sm (PBE-GGA)

Data for crystalline Tb4Sm at its relaxed geometry.

```
10
Lattice="7.678 -0.297 0.000 -3.347 6.917 0.000 -2.166 -3.310 6.588" Properties=species:S:1:pos:R:3 pbc="T T T"
Tb 0.510 3.029 5.356
Tb -2.183 0.429 4.526
Sm 2.166 3.310 0.000
Tb -3.856 3.888 5.356
Tb 2.183 -0.429 4.526
Tb 0.898 5.138 2.062
Tb -2.941 5.287 1.232
Tb 3.433 1.482 2.062
Sm -1.673 3.459 3.294
Tb -0.406 1.630 1.232
```

Computed properties:
Polymorph energy (0 for the lowest one) in meV per atom: 402
M_tot in μB/atom: 0.000
SG: I4_1/amd
ΔH_f (0 K) in meV per atom: 416

=====

Record 2
## Pm3Dy3Th (PBE-GGA)

Data for crystalline Pm3Dy3Th at its relaxed geometry.

```
14
Lattice="8.027 0.757 3.682 2.658 7.612 3.682 0.967 0.757 8.778" Properties=species:S:1:pos:R:3 pbc="T T T"
Pm 8.632 3.194 8.296
Pm 5.406 1.511 8.625
Pm 3.020 5.933 7.847
Dy 4.600 7.816 10.344
Dy 2.059 2.874 8.519
Th 4.018 3.147 5.567
Dy 9.593 6.253 7.624
Dy 7.080 2.594 11.506
Pm 6.246 7.616 7.518
Dy 4.572 6.533 4.637
Th 7.634 5.979 10.576
Pm 4.335 4.240 10.805
Dy 7.052 1.311 5.799
Pm 7.317 4.887 5.338
```

Computed properties:
M_tot in μB/atom: 0.000
SG: R-3
ΔH_f (0 K) in meV per atom: 238

=====

Record 3
## Pr2YAl2 (PBE-GGA)

Data for crystalline Pr2YAl2 at its relaxed geometry.

```
5
Lattice="3.598 0.000 0.000 0.000 6.282 0.372 -1.799 -1.493 6.218" Properties=species:S:1:pos:R:3 pbc="T T T"
Al 1.799 0.084 2.539
Al 0.000 4.706 4.051
Pr 0.000 1.595 4.738
Y 0.000 0.000 0.000
Pr 1.799 3.195 1.852
```

Computed properties:
Polymorph energy (0 for the lowest one) in meV per atom: 125
M_tot in μB/atom: 0.000
SG: C2/m
ΔH_f (0 K) in meV per atom: -186

=====

Record 4
## Na2LaY2 (PBE-GGA)

Data for crystalline Na2LaY2 at its relaxed geometry.

```
10
Lattice="9.479 0.000 0.000 0.000 9.479 0.000 0.000 0.000 3.728" Properties=species:S:1:pos:R:3 pbc="T T T"
Y 7.656 2.917 1.864
Y 6.562 7.656 1.864
Na 1.045 3.694 0.000
La 4.739 4.739 0.000
Na 3.694 8.433 0.000
Na 5.785 1.045 0.000
Na 8.433 5.785 0.000
La 0.000 0.000 0.000
Y 1.822 6.562 1.864
Y 2.917 1.822 1.864
```

Computed properties:
Polymorph energy (0 for the lowest one) in meV per atom: 0
M_tot in μB/atom: 0.000
SG: P4/mbm
ΔH_f (0 K) in meV per atom: 380

=====

Record 5
## Al14ZnGa (PBE-GGA)

Data for crystalline Al14ZnGa at its relaxed geometry.

```
16
Lattice="-1.458 -5.354 -1.308 4.336 0.974 3.571 -5.968 -0.156 7.288" Properties=species:S:1:pos:R:3 pbc="T T T"
Zn -1.787 -2.533 4.571
Al -4.471 -2.007 5.416
Al 0.963 -0.834 0.771
Al -2.296 -1.515 7.189
Al 0.657 -1.437 3.583
Al -1.500 -1.930 1.788
Al 0.384 -2.049 6.359
Al -0.067 -4.111 2.915
Al -3.038 -4.188 6.543
Al 3.128 -0.345 2.554
Al -1.060 0.148 5.224
Al -5.206 -4.677 4.768
Al 0.233 -3.507 0.116
Ga 1.104 0.625 7.006
Al -2.224 -4.599 1.126
Al 2.398 -3.017 1.899
```

Computed properties:
M_tot in μB/atom: 0.000
SG: Amm2
ΔH_f (0 K) in meV per atom: 9

=====

Record 6
## LaGa4RhAu2 (PBE-GGA)

Data for crystalline LaGa4RhAu2 at its relaxed geometry.

```
8
Lattice="-1.121 1.277 4.064 0.376 -2.808 3.373 8.282 2.372 3.927" Properties=species:S:1:pos:R:3 pbc="T T T"
Ga 6.265 1.264 6.106
Au 5.498 0.579 8.497
La 0.000 0.000 0.000
Ga 4.776 1.187 3.332
Ga 2.761 -0.346 8.032
Rh 3.768 0.421 5.682
Ga 1.272 -0.423 5.258
Au 2.038 0.262 2.867
```

Computed properties:
M_tot in μB/atom: 0.000
SG: R-3m
ΔH_f (0 K) in meV per atom: -501